# YTh7Sc3

YTh7Sc3 after structural relaxation (PBE, Alexandria).

a = 5.4031 Å, b = 9.9554 Å, c = 8.5401 Å
α = 101.07°, β = 129.27°, γ = 90.01°
Sites, in units of the cell vectors:
Th1 0.5000 0.0000 0.5000
Sc1 0.7323 0.0237 0.2323
Th2 0.7008 0.3762 0.2009
Th3 0.0484 0.1697 0.0477
Th4 0.2992 0.6238 0.7991
Sc2 0.2677 0.9763 0.7677
Th5 0.1744 0.2793 0.6739
Y1 0.5000 0.5000 0.5000
Th6 0.9516 0.8303 0.9523
Sc3 0.0000 0.5000 0.0000
Th7 0.8256 0.7207 0.3261

As for the space group: No. 10. For the formation energy, the calculation gives 0.170 eV per atom. The total energy comes out at -6.87 eV per atom. For the total magnetization, the calculation gives 0.00 Bohr magnetons per cell. As for the density: 8.9 g cm⁻³.